The following is a PBE calculation of a relaxed Ba2HfCu crystal, from OQMD.

Calculated values
The value obtained for the total DFT energy (no corrections) is -57.1 eV/cell. The volume comes out at 118 Å³/f.u. As for the space-group type: No. 216.

abc: 7.7921 7.7921 7.7921
angles: 90.00 90.00 90.00
Fractional coordinates of all 16 atoms:
Ba (0.0000, 0.0000, 0.0000)
Ba (0.0000, 0.5000, 0.5000)
Ba (0.2500, 0.2500, 0.2500)
Ba (0.2500, 0.7500, 0.7500)
Ba (0.5000, 0.0000, 0.5000)
Ba (0.5000, 0.5000, 0.0000)
Ba (0.7500, 0.2500, 0.7500)
Ba (0.7500, 0.7500, 0.2500)
Hf (0.2500, 0.2500, 0.7500)
Hf (0.2500, 0.7500, 0.2500)
Hf (0.7500, 0.2500, 0.2500)
Hf (0.7500, 0.7500, 0.7500)
Cu (0.0000, 0.0000, 0.5000)
Cu (0.0000, 0.5000, 0.0000)
Cu (0.5000, 0.0000, 0.0000)
Cu (0.5000, 0.5000, 0.5000)